# 1
Computed, not measured: a relaxed structure of Cu2PtBr8 at the PBE level of DFT.

Output
Magnetization, Bohr magnetons per cell: 4.11
Final energy, eV/atom: -2.710
Density of states at the Fermi level, states/eV per atom: 0.927

Unit cell a=12.7010 b=8.8957 c=6.4436 alpha=90.00 beta=100.90 gamma=90.00
With the nearest neighbours (Å) after each atom.
Space group C2/m (No. 12)
Asymmetric unit:
Cu  0.1889  0.0000  0.1590 [4 per cell]  4 Br 2.29-2.45
Pt  0.0000  0.0000  0.5000 [2 per cell]  6 Br 2.50-2.56
Br  0.0827  0.1927  0.2982 [8 per cell]  1 Cu 2.45, 1 Pt 2.50
Br  0.1279  0.5000  0.7973 [4 per cell]  1 Cu 2.29
Br  0.1744  0.0000  0.7751 [4 per cell]  1 Cu 2.45, 1 Pt 2.56

***

# 2
Computed, not measured: a relaxed structure of Cu2PtBr at the PBE level of DFT.

Output
Magnetization, Bohr magnetons per cell: 0.00
Density of states at the Fermi level, states/eV per atom: 0.989
Excess energy over the best structure of this formula in the dataset, eV per atom: 0.393

Unit cell a=6.3277 b=6.3277 c=6.3277 alpha=90.00 beta=90.00 gamma=90.00
With the nearest neighbours (Å) after each atom.
Space group F-43m (No. 216)
Asymmetric unit:
Cu  0.0000  0.0000  0.0000 [4 per cell]  4 Br 2.74, 4 Cu 2.74
Cu  0.2500  0.2500  0.2500 [4 per cell]  4 Cu 2.74, 4 Pt 2.74
Pt  0.0000  0.0000  0.5000 [4 per cell]  4 Br 2.74, 4 Cu 2.74
Br  0.2500  0.2500  0.7500 [4 per cell]  4 Cu 2.74, 4 Pt 2.74

***

# 3
Computed, not measured: a relaxed structure of CuPtBr4 at the PBE level of DFT.

Output
Magnetization, Bohr magnetons per cell: 1.05
Final energy, eV/atom: -2.959
Density of states at the Fermi level, states/eV per atom: 1.014

Unit cell a=6.4378 b=3.9679 c=6.5064 alpha=90.00 beta=95.51 gamma=90.00
With the nearest neighbours (Å) after each atom.
Space group P2/m (No. 10)
Asymmetric unit:
Cu  0.0000  0.0000  0.0000 [1 per cell]  6 Br 2.51-2.78
Pt  0.0000  0.5000  0.5000 [1 per cell]  6 Br 2.49-2.66
Br  0.2117  0.0000  0.3439 [2 per cell]  1 Cu 2.51, 2 Pt 2.66
Br  0.2318  0.5000  0.8292 [2 per cell]  1 Pt 2.49, 2 Cu 2.78

***

# 4
Computed, not measured: a relaxed structure of CuPt2Br at the PBE level of DFT.

Output
Magnetization, Bohr magnetons per cell: 0.00
Density of states at the Fermi level, states/eV per atom: 0.708
Excess energy over the best structure of this formula in the dataset, eV per atom: 0.211

Unit cell a=2.8758 b=4.7653 c=4.8348 alpha=90.00 beta=90.00 gamma=90.00
With the nearest neighbours (Å) after each atom.
Space group Pmmm (No. 47)
Asymmetric unit:
Cu  0.0000  0.0000  0.0000 [1 per cell]  4 Pt 2.78, 4 Br 2.81, 2 Cu 2.88
Pt  0.0000  0.5000  0.5000 [1 per cell]  4 Br 2.78, 6 Pt 2.81-2.88
Pt  0.5000  0.5000  0.0000 [1 per cell]  4 Cu 2.78, 6 Pt 2.81-2.88
Br  0.5000  0.0000  0.5000 [1 per cell]  4 Pt 2.78, 4 Cu 2.81, 2 Br 2.88

***

# 5
Computed, not measured: a relaxed structure of CuPt2Br at the PBE level of DFT.

Output
Magnetization, Bohr magnetons per cell: 0.00
Density of states at the Fermi level, states/eV per atom: 0.636
Excess energy over the best structure of this formula in the dataset, eV per atom: 0.143

Unit cell a=9.9448 b=2.8456 c=5.4694 alpha=90.00 beta=117.57 gamma=90.00
With the nearest neighbours (Å) after each atom.
Space group Cm (No. 8)
Asymmetric unit:
Cu  0.0000  0.0000  0.0000 [2 per cell]  1 Br 2.51, 4 Pt 2.66-2.68
Pt  0.1174  0.5000  0.4624 [2 per cell]  5 Pt 2.64-2.85, 2 Cu 2.66, 2 Br 2.92
Pt  0.3712  0.0000  0.5312 [2 per cell]  1 Br 2.64, 5 Pt 2.64-2.85, 2 Cu 2.68
Br  0.2493  0.0000  0.9885 [2 per cell]  1 Cu 2.51, 1 Pt 2.64

***

# 6
Computed, not measured: a relaxed structure of CuPtBr at the PBE level of DFT.

Output
Magnetization, Bohr magnetons per cell: 0.00
Density of states at the Fermi level, states/eV per atom: 0.616
Excess energy over the best structure of this formula in the dataset, eV per atom: 0.075

Unit cell a=3.5023 b=3.5023 c=9.1996 alpha=90.00 beta=90.00 gamma=90.00
With the nearest neighbours (Å) after each atom.
Space group I4mm (No. 107)
Asymmetric unit:
Cu  0.0000  0.0000  0.0000 [2 per cell]  4 Pt 2.55, 1 Br 2.65
Pt  0.0000  0.0000  0.4341 [2 per cell]  4 Cu 2.55, 1 Br 2.56
Br  0.0000  0.0000  0.7123 [2 per cell]  1 Pt 2.56, 1 Cu 2.65

***

# 7
Computed, not measured: a relaxed structure of Cu2PtBr2 at the PBE level of DFT.

Output
Magnetization, Bohr magnetons per cell: 0.00
Density of states at the Fermi level, states/eV per atom: 0.238
Excess energy over the best structure of this formula in the dataset, eV per atom: 0.063

Unit cell a=3.5131 b=3.5131 c=15.3064 alpha=90.00 beta=90.00 gamma=90.00
With the nearest neighbours (Å) after each atom.
Space group I4/mmm (No. 139)
Asymmetric unit:
Cu  0.0000  0.5000  0.2500 [4 per cell]  4 Cu 2.48, 4 Br 2.60
Pt  0.0000  0.0000  0.0000 [2 per cell]  8 Br 3.13
Br  0.0000  0.0000  0.3753 [4 per cell]  4 Cu 2.60

***

# 8
Computed, not measured: a relaxed structure of Cu2PtBr at the PBE level of DFT.

Output
Magnetization, Bohr magnetons per cell: 0.00
Density of states at the Fermi level, states/eV per atom: 0.611
Excess energy over the best structure of this formula in the dataset, eV per atom: 0.248

Unit cell a=3.0627 b=4.2299 c=5.2355 alpha=90.00 beta=90.00 gamma=90.00
With the nearest neighbours (Å) after each atom.
Space group Pmmm (No. 47)
Asymmetric unit:
Cu  0.0000  0.0000  0.0000 [1 per cell]  4 Br 2.61, 2 Pt 2.62
Cu  0.5000  0.5000  0.5000 [1 per cell]  4 Pt 2.61, 2 Br 2.62
Pt  0.0000  0.0000  0.5000 [1 per cell]  6 Cu 2.61-2.62
Br  0.5000  0.5000  0.0000 [1 per cell]  6 Cu 2.61-2.62

***

# 9
Computed, not measured: a relaxed structure of CuPt2Br at the PBE level of DFT.

Output
Magnetization, Bohr magnetons per cell: 0.00
Density of states at the Fermi level, states/eV per atom: 1.127
Excess energy over the best structure of this formula in the dataset, eV per atom: 0.384

Unit cell a=6.3860 b=6.3860 c=6.3860 alpha=90.00 beta=90.00 gamma=90.00
With the nearest neighbours (Å) after each atom.
Space group Fm-3m (No. 225)
Asymmetric unit:
Cu  0.0000  0.0000  0.0000 [4 per cell]  8 Pt 2.77
Pt  0.2500  0.2500  0.2500 [8 per cell]  4 Br 2.77, 4 Cu 2.77
Br  0.0000  0.0000  0.5000 [4 per cell]  8 Pt 2.77

***

# 10
Computed, not measured: a relaxed structure of Cu2PtBr at the PBE level of DFT.

Output
Magnetization, Bohr magnetons per cell: 0.00
Density of states at the Fermi level, states/eV per atom: 0.782
Excess energy over the best structure of this formula in the dataset, eV per atom: 0.101

Unit cell a=3.2840 b=3.2840 c=6.0553 alpha=90.00 beta=90.00 gamma=90.00
With the nearest neighbours (Å) after each atom.
Space group P4/mmm (No. 123)
Asymmetric unit:
Cu  0.0000  0.0000  0.2120 [2 per cell]  1 Cu 2.57, 4 Pt 2.65
Pt  0.5000  0.5000  0.0000 [1 per cell]  8 Cu 2.65
Br  0.5000  0.5000  0.5000 [1 per cell]  8 Cu 2.90, 2 Pt 3.03

***

# 11
Computed, not measured: a relaxed structure of CuPtBr at the PBE level of DFT.

Output
Magnetization, Bohr magnetons per cell: 0.00
Density of states at the Fermi level, states/eV per atom: 0.482
Excess energy over the best structure of this formula in the dataset, eV per atom: 0.214

Unit cell a=4.3335 b=4.3335 c=3.2198 alpha=90.00 beta=90.00 gamma=120.00
With the nearest neighbours (Å) after each atom.
Space group P3m1 (No. 156)
Asymmetric unit:
Cu  0.0000  0.0000  0.0000 [1 per cell]  3 Pt 2.73, 3 Br 2.82
Pt  0.6667  0.3333  0.3423 [1 per cell]  3 Br 2.63, 3 Cu 2.73
Br  0.3333  0.6667  0.5936 [1 per cell]  3 Pt 2.63, 3 Cu 2.82

***

# 12
Computed, not measured: a relaxed structure of Cu2Pt2Br at the PBE level of DFT.

Output
Magnetization, Bohr magnetons per cell: 0.00
Density of states at the Fermi level, states/eV per atom: 0.982
Excess energy over the best structure of this formula in the dataset, eV per atom: 0.165

Unit cell a=3.7087 b=3.7087 c=12.4549 alpha=90.00 beta=90.00 gamma=90.00
With the nearest neighbours (Å) after each atom.
Space group I4/mmm (No. 139)
Asymmetric unit:
Cu  0.0000  0.5000  0.2500 [4 per cell]  4 Pt 2.54, 4 Cu 2.62
Pt  0.0000  0.0000  0.1107 [4 per cell]  4 Cu 2.54, 1 Pt 2.76
Br  0.0000  0.0000  0.5000 [2 per cell]  8 Pt 2.96